Crystalline ZrIrPdO6 at its relaxed geometry. Source: Alexandria, functional PBE.

The structure in POSCAR format:
```
ZrIrPdO6
1.0
-3.7078 3.6641 0.3206
-0.9549 -4.4669 -2.5320
-2.9863 -3.6900 7.6360
Zr Ir Pd O
2 2 2 12
Cartesian
-2.6192 -2.6791 0.3278
-5.0299 -1.8137 5.0967
-3.5368 0.0313 1.2787
-4.1123 -4.5240 4.1458
0.0000 0.0000 0.0000
-1.4932 -1.8450 3.8180
-3.4646 -0.9299 -0.4708
-4.3459 1.6486 0.4305
-4.0496 -5.4820 2.3942
-3.3031 -6.1413 4.9940
-2.7340 -1.5920 2.1215
-5.3882 -0.6765 1.5258
-5.9606 -5.2411 4.3897
-3.5995 0.9892 3.0303
-2.2609 -3.8162 3.8987
-1.6885 0.7483 1.0348
-4.9151 -2.9008 3.3030
-4.1845 -3.5629 5.8953
```

N(E_F): 3.95 states/eV/f.u.
VASP energy: -128.69 eV/cell
Calculated volume: 11.80 Å³/atom
ρ: 7.60 Mg/m³

=====

Crystalline Pm3IrO7 at its relaxed geometry. Source: Alexandria, functional PBE.

The structure in POSCAR format:
```
Pm3IrO7
1.0
-1.3738 0.6704 -6.4197
1.4738 -6.2689 1.4415
-7.2951 -1.3894 1.4160
Pm Ir O
6 2 14
Cartesian
-4.8051 -4.2712 1.3260
0.0000 0.0000 0.0000
-3.6476 -0.6947 0.7080
-1.1175 -5.8178 -1.3750
-6.0776 -1.1701 -2.1871
-2.3900 -2.7167 -4.8881
0.0500 -2.7992 -2.4891
-3.5976 -3.4940 -1.7811
-0.7290 -5.5679 0.8718
-4.3719 -6.5236 1.3477
-2.9838 -3.2673 0.0991
0.1200 -2.6761 -0.5033
-6.5937 -6.0699 -1.0672
-3.4899 -5.4787 -1.6696
-5.4301 -3.3519 -0.9919
-1.7650 -3.6360 -2.5703
-0.6014 -0.9180 -2.4950
-3.7052 -1.5092 -1.8925
-7.3152 -4.3118 -3.0588
-4.2113 -3.7206 -3.6613
-2.8233 -0.4643 -4.9099
-6.4662 -1.4200 -4.4339
```

N(E_F): 4.46 states/eV/f.u.
VASP energy: -172.49 eV/cell
Calculated volume: 13.99 Å³/atom
ρ: 7.98 Mg/m³

=====

Crystalline Pm12Ir6O at its relaxed geometry. Source: Alexandria, functional PBE.

The structure in POSCAR format:
```
Pm12Ir6O
1.0
-7.2924 2.8757 -2.4274
2.5001 -3.3104 -7.0804
-2.5081 -6.8278 3.7989
Pm Ir O
12 6 1
Cartesian
-5.6062 -2.3829 -4.5214
-2.4210 -5.4867 -4.6459
-5.2504 -5.3391 -1.2155
-1.6942 -4.8797 -1.1874
-4.8794 -1.7758 -1.0629
-2.0500 -1.9234 -4.4933
1.0688 -5.0665 -5.7608
-0.9281 -8.4753 -1.4754
-2.8280 -1.3910 -8.0584
-8.3692 -2.1961 0.0520
-6.3723 1.2128 -4.2334
-4.4725 -5.8716 2.3496
-3.9179 -3.4721 -6.4248
-4.0850 -0.0825 -3.1028
-0.1369 -3.6920 -3.5597
-3.3825 -3.7904 0.7160
-3.2154 -7.1801 -2.6060
-7.1636 -3.5705 -2.1491
0.0000 0.0000 0.0000
```

N(E_F): 13.92 states/eV/f.u.
VASP energy: -129.60 eV/cell
Calculated volume: 27.87 Å³/atom
ρ: 9.12 Mg/m³

=====

Crystalline Pm7Ir4O at its relaxed geometry. Source: Alexandria, functional PBE.

The structure in POSCAR format:
```
Pm7Ir4O
1.0
-2.8618 2.9384 2.6302
-7.4522 0.4471 -4.0946
-4.3988 -4.5466 4.8067
Pm Ir O
7 4 1
Cartesian
-11.1505 0.0600 1.3408
-3.5624 -1.2210 2.0014
-6.2520 -0.0854 -2.1938
-8.4608 -1.0757 5.5361
-8.3821 -1.9610 2.0974
-1.4309 1.4692 1.3151
-6.3307 0.8000 1.2449
-6.0058 -1.0727 3.6906
-8.7071 -0.0883 -0.3484
-10.8787 -1.7854 3.6982
-3.8341 0.6244 -0.3560
0.0000 0.0000 0.0000
```

N(E_F): 6.92 states/eV/f.u.
VASP energy: -84.90 eV/cell
Calculated volume: 24.97 Å³/atom
ρ: 9.98 Mg/m³

=====

Crystalline Pm3IrO at its relaxed geometry. Source: Alexandria, functional PBE.

The structure in POSCAR format:
```
Pm3IrO
1.0
-1.4793 -5.9640 3.5862
8.1853 -2.9810 0.9783
0.7119 3.1782 8.1384
Pm Ir O
12 4 4
Cartesian
6.2130 -3.0053 11.0058
-0.9631 -4.5663 4.8586
1.2048 -2.7615 1.6971
8.3810 -1.2004 7.8443
2.4383 -3.6054 10.5621
0.6130 -2.1543 7.4087
4.9795 -2.1614 2.1408
6.8048 -3.6125 5.2941
4.6165 -1.8547 7.7243
2.5742 -0.1333 4.1118
2.8014 -3.9120 4.9786
4.8437 -5.6335 8.5911
7.1657 -3.9365 2.4973
0.2521 -1.8303 10.2056
2.4795 -0.0744 6.9871
4.9384 -5.6924 5.7157
4.4896 -3.4930 9.3869
0.9371 -4.2243 6.3081
2.9283 -2.2738 3.3159
6.4808 -1.5425 6.3947
```

N(E_F): 2.66 states/eV/f.u.
Polymorph energy (0 for the lowest one): 0 meV/atom
Calculated volume: 26.73 Å³/atom
ρ: 7.99 Mg/m³

=====

Crystalline Pm4IrO at its relaxed geometry. Source: Alexandria, functional PBE.

The structure in POSCAR format:
```
Pm4IrO
1.0
6.6871 0.0000 0.0000
0.0000 7.2090 0.4250
-3.3435 -2.3944 6.2156
Pm Ir O
8 2 2
Cartesian
0.4500 0.1864 1.9066
-0.4500 3.7909 2.1191
3.8945 6.4823 1.6645
2.7926 2.8778 1.4520
-0.5510 -1.6677 4.9761
0.5510 1.9367 5.1886
2.8936 4.6281 4.7340
3.7935 1.0236 4.5215
1.3694 5.4067 0.3188
5.3177 1.8022 0.1063
1.6718 2.4073 3.3203
-1.6718 -1.1972 3.1078
```

N(E_F): 5.34 states/eV/f.u.
VASP energy: -77.84 eV/cell
Calculated volume: 25.54 Å³/atom
ρ: 8.54 Mg/m³

=====

Crystalline PmIr2O8 at its relaxed geometry. Source: Alexandria, functional PBE.

The structure in POSCAR format:
```
PmIr2O8
1.0
-1.7332 6.8186 -0.0359
-5.1460 -1.2908 3.1408
5.2037 1.3387 3.0236
Pm Ir O
1 2 8
Cartesian
5.2036 1.3387 3.0236
1.2457 2.4619 3.0525
-2.9212 4.4045 3.0759
-2.4897 2.7069 3.0849
0.8142 4.1595 3.0435
-4.7104 4.7249 3.0892
0.6163 1.5192 1.6314
0.6405 1.5407 4.4980
3.0348 2.1415 3.0392
-2.2919 5.3472 4.4971
-2.3161 5.3257 1.6305
```

N(E_F): 5.36 states/eV/f.u.
VASP energy: -72.91 eV/cell
Calculated volume: 21.05 Å³/atom
ρ: 4.71 Mg/m³

=====

Crystalline Pm7Ir2O2 at its relaxed geometry. Source: Alexandria, functional PBE.

The structure in POSCAR format:
```
Pm7Ir2O2
1.0
-2.9286 -3.1196 -5.7884
0.3998 -5.1094 4.0405
-4.0229 2.3405 5.4911
Pm Ir O
7 2 2
Cartesian
-1.8502 -0.3224 3.3138
-1.1897 -5.1725 0.5796
-4.7015 -5.5661 0.4294
-5.3620 -0.7160 3.1636
0.0000 0.0000 0.0000
-3.2283 -3.9052 3.2789
-3.3234 -1.9833 0.4643
-5.4975 -3.1932 1.7766
-1.0542 -2.6953 1.9666
-2.7439 -7.1260 0.3925
-3.8078 1.2375 3.3507
```

N(E_F): 8.15 states/eV/f.u.
VASP energy: -72.78 eV/cell
Calculated volume: 25.54 Å³/atom
ρ: 8.46 Mg/m³

=====

Crystalline Pm12Ir3O5 at its relaxed geometry. Source: Alexandria, functional PBE.

The structure in POSCAR format:
```
Pm12Ir3O5
1.0
-1.0267 -11.9143 6.2699
8.4167 -1.1478 -10.4956
4.7870 9.2246 8.6202
Ir O Pm
12 20 48
Cartesian
2.9846 -8.2131 1.8441
6.0125 -10.1328 -1.3081
8.9194 0.4367 -0.1329
2.5905 0.3372 3.4881
1.3505 -8.2623 6.3292
6.0722 -2.8791 -2.0535
6.1048 -0.9584 6.4479
10.8265 4.4248 -1.9348
9.5864 -4.1747 0.9063
3.2576 -4.2742 4.5273
6.1644 6.2953 5.7025
9.1923 4.3756 2.5504
4.2247 0.3864 -0.9971
4.2083 -0.5739 -5.2478
0.0000 0.0000 0.0000
2.3175 -3.6017 0.8048
1.8801 -1.3449 7.4450
3.6950 -6.5310 -2.1129
7.9793 1.1091 -3.8554
4.4707 -1.0077 10.9331
6.2855 -6.1939 1.3752
4.2573 2.3071 7.5044
7.9197 -6.1446 -3.1100
6.0885 -1.9187 2.1972
-0.5133 -5.9572 3.1349
2.3935 4.6123 4.3101
5.8914 2.3564 3.0192
7.7063 -2.8298 -6.5387
6.6018 4.0384 -0.9377
4.1977 -4.9466 8.2498
9.8594 -0.2358 3.5896
7.9523 -4.2239 5.3915
0.3952 -8.3468 3.3954
6.0272 -0.6366 -0.0290
3.5995 -9.3664 4.6403
1.7836 -5.3846 2.1349
8.6265 -1.5187 2.1519
4.8854 -10.6135 1.4538
8.3114 -0.8835 -2.7819
8.1459 -1.0769 -7.9412
10.8726 -1.9039 -0.6164
5.1051 -7.4169 -0.1557
5.0116 -6.4722 3.2548
6.8952 -10.5411 -4.1688
8.3461 2.6017 -2.1611
3.4413 -4.1825 -1.1012
9.3475 1.4174 -5.6626
3.4313 0.4493 6.4559
2.4495 0.6530 0.4209
5.7200 -5.5744 -3.3730
8.2316 -8.0795 -1.9301
3.7958 -1.0185 -2.7507
11.6122 1.6525 -1.0259
6.5725 -4.0047 0.7766
8.4529 -6.8817 1.6251
6.2135 -1.3918 9.5021
5.6045 0.1672 3.6178
3.7241 3.0442 2.7693
5.9635 -2.4457 -5.1076
3.9454 4.2420 6.3246
0.5647 -5.4900 5.4203
8.3812 -2.8190 7.1451
6.4570 1.7369 7.7674
8.7457 -4.2868 -2.0615
9.7275 -4.4905 3.9735
2.8294 -5.2548 10.0570
3.8308 -6.4392 6.5556
5.2818 6.7036 8.5632
8.7357 0.3450 5.4956
1.3043 -1.9336 5.0108
7.0718 3.5794 4.5502
7.1653 2.6347 1.1397
4.0311 -2.7606 12.3356
3.8656 -2.9540 7.1763
10.3934 1.5471 2.2595
7.2916 6.7760 2.9406
3.5505 -2.3188 2.2425
8.5775 5.5290 -0.2459
6.1498 -3.2009 4.4234
11.7818 4.5093 0.9991
```

N(E_F): 16.41 states/eV/f.u.
VASP energy: -559.31 eV/cell
Calculated volume: 23.69 Å³/atom
ρ: 8.40 Mg/m³

=====

Crystalline PmIrO4 at its relaxed geometry. Source: Alexandria, functional PBE.

The structure in POSCAR format:
```
PmIrO4
1.0
-2.9778 2.5959 -3.6533
-3.9501 0.3953 3.5006
2.4761 4.6298 1.2714
Pm Ir O
2 2 8
Cartesian
-0.7370 2.5126 2.3860
-0.2509 3.6128 -1.1910
-3.4639 1.4956 -0.0764
0.0000 0.0000 0.0000
-3.0990 1.5019 1.9687
-1.3921 1.5381 -0.1105
-3.4968 3.3773 0.1586
-2.2894 3.8830 3.4963
-2.1624 3.7380 -2.3776
-0.9549 4.2437 0.9601
-3.0597 6.0829 1.2292
-1.3528 6.1190 -0.8501
```

N(E_F): 3.09 states/eV/f.u.
Polymorph energy (0 for the lowest one): 91 meV/atom
Calculated volume: 12.72 Å³/atom
ρ: 8.73 Mg/m³

=====

Crystalline Pm4Ir2O at its relaxed geometry. Source: Alexandria, functional PBE.

The structure in POSCAR format:
```
Pm4Ir2O
1.0
6.7657 0.0000 0.1148
0.0000 6.8703 0.0000
-2.3571 0.0000 7.4680
Pm Ir O
8 4 2
Cartesian
2.7302 3.4692 1.9455
-1.7458 5.1527 6.7374
6.1544 1.7176 0.8455
2.7302 6.8362 1.9455
4.9901 1.7176 4.7935
1.6783 0.0341 5.6373
1.6783 3.4011 5.6373
-0.5815 5.1527 2.7894
4.7888 5.1527 0.4722
-0.3803 1.7176 7.1106
0.7678 1.7176 3.3009
3.6407 5.1527 4.2819
1.3177 5.1527 1.4673
3.0909 1.7176 6.1156
```

N(E_F): 3.74 states/eV/f.u.
Polymorph energy (0 for the lowest one): 0 meV/atom
Calculated volume: 24.93 Å³/atom
ρ: 9.33 Mg/m³

=====

Crystalline Pm12Ir5O2 at its relaxed geometry. Source: Alexandria, functional PBE.

The structure in POSCAR format:
```
Pm12Ir5O2
1.0
7.3075 0.0000 0.0000
-3.6538 8.1207 0.2402
0.0000 -2.5882 8.4029
Pm Ir O
12 5 2
Cartesian
3.6538 7.4721 1.7619
-1.7964 3.0581 7.7603
1.7964 3.0581 7.7603
-1.8662 4.5903 3.8113
1.8662 4.5903 3.8113
3.6538 -2.0495 6.6820
0.0000 7.5820 1.9611
5.5200 0.9422 4.8318
1.7876 0.9422 4.8318
5.4501 2.4744 0.8828
1.8574 2.4744 0.8828
0.0000 -1.9395 6.8813
0.0000 3.3411 5.5984
0.0000 4.7852 1.5124
0.0000 -1.2941 4.2015
3.6538 0.7473 7.1307
3.6538 2.1914 3.0447
5.3171 0.0000 0.0000
1.9905 0.0000 0.0000
```

N(E_F): 14.95 states/eV/f.u.
VASP energy: -129.62 eV/cell
Calculated volume: 26.48 Å³/atom
ρ: 9.02 Mg/m³

=====

Crystalline Pm3IrO6 at its relaxed geometry. Source: Alexandria, functional PBE.

The structure in POSCAR format:
```
Pm3IrO6
1.0
5.7077 0.0000 -0.2146
0.0000 6.0343 0.0000
-0.2396 0.0000 8.1510
Pm Ir O
6 2 12
Cartesian
2.8482 5.6324 5.9741
2.8538 3.0171 -0.1073
2.6199 0.4019 1.9623
0.1141 3.4190 2.0059
-0.1198 0.0000 4.0755
5.3540 2.6152 5.9305
2.7341 3.0171 3.9682
0.0000 0.0000 0.0000
3.8001 1.1600 7.4567
3.7179 1.2253 4.4755
3.6216 2.6240 2.0752
1.8465 3.4103 5.8612
1.7503 4.8090 3.4609
1.6680 4.8743 0.4797
1.0660 1.8571 3.4885
0.9838 1.7918 0.5073
0.6480 0.3931 6.2580
4.8201 5.6411 1.6784
4.4843 4.2425 7.4291
4.4021 4.1772 4.4479
```

N(E_F): 0.00 states/eV/f.u.
VASP energy: -157.45 eV/cell
Calculated volume: 14.02 Å³/atom
ρ: 8.57 Mg/m³

=====

Crystalline Pm2Ir2O7 at its relaxed geometry. Source: Alexandria, functional PBE.

The structure in POSCAR format:
```
Pm2Ir2O7
1.0
-3.3333 2.1585 6.2044
-7.3557 0.1112 0.3826
-3.5456 -4.9212 4.1803
Pm Ir O
4 4 14
Cartesian
-8.8966 -1.6572 6.7295
-7.1238 0.8034 4.6394
-5.2188 -1.7128 6.5383
-7.2300 -2.7364 3.6273
-3.4460 0.7478 4.4481
-5.4572 -0.2758 1.5372
-3.5521 -2.7921 3.4360
-1.7793 -0.3314 1.3459
-5.0332 -3.4237 4.6815
-7.2564 -0.4873 2.4655
-3.4594 -1.2614 4.7748
-5.0463 0.8346 3.1930
-10.6759 -1.9887 8.0755
-4.9093 0.7073 5.8626
-1.9826 0.7883 3.0337
-5.1347 -2.1141 2.3500
-2.0710 -2.1604 2.1906
-3.6579 -0.0644 0.6089
-9.3252 -3.3588 4.9047
-7.1173 -1.3258 5.3836
-6.9782 -2.1643 8.3017
-9.2013 0.7722 6.0858
```

N(E_F): 5.69 states/eV/f.u.
VASP energy: -167.99 eV/cell
Calculated volume: 12.85 Å³/atom
ρ: 9.24 Mg/m³

=====

Crystalline PmIrO6 at its relaxed geometry. Source: Alexandria, functional PBE.

The structure in POSCAR format:
```
PmIrO6
1.0
4.3805 -0.5065 -0.2382
-0.1759 4.4062 -0.2382
0.9697 0.8994 4.8365
Pm Ir O
1 1 6
Cartesian
2.5871 2.3995 2.1801
0.0000 0.0000 0.0000
0.4179 3.2051 1.1147
3.2274 0.1760 1.1147
1.9468 4.6231 3.2455
4.7563 1.5940 3.2455
1.3143 1.2190 0.4980
3.8600 3.5801 3.8622
```

N(E_F): 3.92 states/eV/f.u.
Polymorph energy (0 for the lowest one): 119 meV/atom
Calculated volume: 11.88 Å³/atom
ρ: 7.57 Mg/m³